1.
First-principles (PBE) data for a relaxed DyTmAg crystal, as listed in the Open Quantum Materials Database.

Calculated values
V in Å³ per atom: 27.1
Crystal system: cubic
Offset from the most stable computed form in meV/atom: 0

Geometry as CIF:
```
data_DyTmAg
_chemical_formula_sum 'Dy1 Tm1 Ag1'
_symmetry_space_group_name_H-M 'P 1'
_symmetry_Int_Tables_number 1
_cell_length_a 4.8654
_cell_length_b 4.8654
_cell_length_c 4.8654
_cell_angle_alpha 60.00
_cell_angle_beta 60.00
_cell_angle_gamma 60.00
loop_
_symmetry_equiv_pos_as_xyz
'x,y,z'
loop_
_atom_site_label
_atom_site_type_symbol
_atom_site_fract_x
_atom_site_fract_y
_atom_site_fract_z
Ag1 Ag 0.2500 0.2500 0.2500
Dy1 Dy 0.7500 0.7500 0.7500
Tm1 Tm 0.0000 0.0000 0.0000
```

***

2.
First-principles (PBE) data for a relaxed DyTmAg4 crystal, as listed in the Open Quantum Materials Database.

Calculated values
V in Å³ per atom: 21.0
Crystal system: tetragonal

Geometry as CIF:
```
data_DyTmAg4
_chemical_formula_sum 'Dy1 Tm1 Ag4'
_symmetry_space_group_name_H-M 'P 1'
_symmetry_Int_Tables_number 1
_cell_length_a 3.7012
_cell_length_b 3.7012
_cell_length_c 9.2085
_cell_angle_alpha 90.00
_cell_angle_beta 90.00
_cell_angle_gamma 90.00
loop_
_symmetry_equiv_pos_as_xyz
'x,y,z'
loop_
_atom_site_label
_atom_site_type_symbol
_atom_site_fract_x
_atom_site_fract_y
_atom_site_fract_z
Ag1 Ag 0.5000 0.5000 0.1717
Ag2 Ag 0.0000 0.0000 0.3330
Ag3 Ag 0.0000 0.0000 0.6670
Ag4 Ag 0.5000 0.5000 0.8283
Dy1 Dy 0.0000 0.0000 0.0000
Tm1 Tm 0.5000 0.5000 0.5000
```

***

3.
First-principles (PBE) data for a relaxed DyTmAg6 crystal, as listed in the Open Quantum Materials Database.

Calculated values
V in Å³ per atom: 19.8
Crystal system: orthorhombic

Geometry as CIF:
```
data_DyTmAg6
_chemical_formula_sum 'Dy1 Tm1 Ag6'
_symmetry_space_group_name_H-M 'P 1'
_symmetry_Int_Tables_number 1
_cell_length_a 5.0025
_cell_length_b 6.0875
_cell_length_c 5.2019
_cell_angle_alpha 90.00
_cell_angle_beta 90.00
_cell_angle_gamma 90.00
loop_
_symmetry_equiv_pos_as_xyz
'x,y,z'
loop_
_atom_site_label
_atom_site_type_symbol
_atom_site_fract_x
_atom_site_fract_y
_atom_site_fract_z
Ag1 Ag 0.5000 0.0000 0.1747
Ag2 Ag 0.0000 0.2544 0.3409
Ag3 Ag 0.0000 0.7456 0.3409
Ag4 Ag 0.5000 0.2463 0.6590
Ag5 Ag 0.5000 0.7537 0.6590
Ag6 Ag 0.0000 0.5000 0.8257
Dy1 Dy 0.0000 0.0000 0.8470
Tm1 Tm 0.5000 0.5000 0.1529
```

***

4.
First-principles (PBE) data for a relaxed DyUAg crystal, as listed in the Open Quantum Materials Database.

Calculated values
V in Å³ per atom: 26.2
Crystal system: cubic
Offset from the most stable computed form in meV/atom: 0

Geometry as CIF:
```
data_DyUAg
_chemical_formula_sum 'Dy1 U1 Ag1'
_symmetry_space_group_name_H-M 'P 1'
_symmetry_Int_Tables_number 1
_cell_length_a 4.8108
_cell_length_b 4.8108
_cell_length_c 4.8108
_cell_angle_alpha 60.00
_cell_angle_beta 60.00
_cell_angle_gamma 60.00
loop_
_symmetry_equiv_pos_as_xyz
'x,y,z'
loop_
_atom_site_label
_atom_site_type_symbol
_atom_site_fract_x
_atom_site_fract_y
_atom_site_fract_z
Ag1 Ag 0.5000 0.5000 0.5000
Dy1 Dy 0.2500 0.2500 0.2500
U1 U 0.0000 0.0000 0.0000
```

***

5.
First-principles (PBE) data for a relaxed DyY4Ag5 crystal, as listed in the Open Quantum Materials Database.

Calculated values
V in Å³ per atom: 23.9
Crystal system: tetragonal

Geometry as CIF:
```
data_DyY4Ag5
_chemical_formula_sum 'Dy1 Y4 Ag5'
_symmetry_space_group_name_H-M 'P 1'
_symmetry_Int_Tables_number 1
_cell_length_a 3.6232
_cell_length_b 3.6232
_cell_length_c 18.1918
_cell_angle_alpha 90.00
_cell_angle_beta 90.00
_cell_angle_gamma 90.00
loop_
_symmetry_equiv_pos_as_xyz
'x,y,z'
loop_
_atom_site_label
_atom_site_type_symbol
_atom_site_fract_x
_atom_site_fract_y
_atom_site_fract_z
Ag1 Ag 0.5000 0.5000 0.0991
Ag2 Ag 0.5000 0.5000 0.3000
Ag3 Ag 0.5000 0.5000 0.5000
Ag4 Ag 0.5000 0.5000 0.7000
Ag5 Ag 0.5000 0.5000 0.9009
Dy1 Dy 0.0000 0.0000 0.0000
Y1 Y 0.0000 0.0000 0.1997
Y2 Y 0.0000 0.0000 0.3999
Y3 Y 0.0000 0.0000 0.6001
Y4 Y 0.0000 0.0000 0.8003
```

***

6.
First-principles (PBE) data for a relaxed DyYAg crystal, as listed in the Open Quantum Materials Database.

Calculated values
V in Å³ per atom: 27.8
Crystal system: cubic

Geometry as CIF:
```
data_DyYAg
_chemical_formula_sum 'Dy1 Y1 Ag1'
_symmetry_space_group_name_H-M 'P 1'
_symmetry_Int_Tables_number 1
_cell_length_a 4.9040
_cell_length_b 4.9040
_cell_length_c 4.9040
_cell_angle_alpha 60.00
_cell_angle_beta 60.00
_cell_angle_gamma 60.00
loop_
_symmetry_equiv_pos_as_xyz
'x,y,z'
loop_
_atom_site_label
_atom_site_type_symbol
_atom_site_fract_x
_atom_site_fract_y
_atom_site_fract_z
Ag1 Ag 0.2500 0.2500 0.2500
Dy1 Dy 0.0000 0.0000 0.0000
Y1 Y 0.7500 0.7500 0.7500
```

***

Looking at formation enthalpy at 0 K for the records above, in order, we have 54.26; -32.56; -25.90; 102.79; -32.80; 53.83 kJ/mol of atoms.